VASP calculation (GGA-PBE) on a geometry-optimized Ta4Mo3W4 structure.

Computed properties:
The calculated formation energy is -99.9 meV/atom. As for the total moment: 0.000 μB per formula unit.

Cell: 28.8355 4.5339 2.8176 Å, 90.00 93.63 90.00°
With the nearest neighbours (Å) after each atom.
Space group C2/m (No. 12)
One atom of each set of equivalent atoms:
1 Ta 0.0900 0.0000 0.2337  3 Mo 2.75-2.78, 3 W 2.79, 2 Ta 2.82
2 Ta 0.2266 0.5000 0.3116  3 W 2.80-2.81, 1 Mo 2.80, 4 Ta 2.81-2.82
3 Mo 0.0000 0.0000 0.5000  2 Ta 2.75, 4 W 2.76, 2 Mo 2.82
4 Mo 0.1353 0.5000 0.5982  3 W 2.75-2.76, 3 Ta 2.78-2.80, 2 Mo 2.82
5 W 0.0447 0.5000 0.8543  3 Mo 2.75-2.76, 3 W 2.76-2.82, 2 Ta 2.79
6 W 0.1805 0.0000 0.9422  2 Mo 2.76, 4 Ta 2.79-2.81, 2 W 2.82


VASP calculation (GGA-PBE) on a geometry-optimized TaMo4W5 structure.

Computed properties:
For the distance to the lowest polymorph of the same formula, the calculation gives 0 meV per atom. The calculated formation energy is -48.9 meV/atom. As for the total moment: 0.000 μB per formula unit.

Cell: 3.1828 3.1828 16.0172 Å, 90.00 90.00 90.00°
With the nearest neighbours (Å) after each atom.
Space group P4/mmm (No. 123)
One atom of each set of equivalent atoms:
1 Ta 0.0000 0.0000 0.0000  8 W 2.80
2 Mo 0.0000 0.0000 0.2021  8 W 2.74-2.76
3 Mo 0.0000 0.0000 0.4006  8 W 2.75-2.76
4 W 0.5000 0.5000 0.1042  4 Mo 2.74, 4 Ta 2.80
5 W 0.5000 0.5000 0.3020  8 Mo 2.75-2.76
6 W 0.5000 0.5000 0.5000  8 Mo 2.76


VASP calculation (GGA-PBE) on a geometry-optimized TaMo12W6 structure.

Computed properties:
The calculated formation energy is 1014.3 meV/atom. As for the total moment: 0.000 μB per formula unit.

Cell: 10.4481 10.4481 11.5422 Å, 90.00 90.00 120.00°
With the nearest neighbours (Å) after each atom.
Space group R-3m (No. 166, hexagonal axes)
One atom of each set of equivalent atoms:
1 Ta 0.0000 0.0000 0.0000  6 W 2.84
2 Mo 0.0000 0.3554 0.5000  4 W 2.57, 2 Mo 2.74
3 Mo 0.0863 0.1727 0.3995  6 Mo 2.71-2.80, 2 W 2.84
4 W 0.0199 0.5100 0.6792  6 Mo 2.57-2.84, 1 Ta 2.84, 2 W 2.85


VASP calculation (GGA-PBE) on a geometry-optimized TaMo5W2 structure.

Computed properties:
For the distance to the lowest polymorph of the same formula, the calculation gives 0 meV per atom. The calculated formation energy is 361.3 meV/atom. As for the total moment: 0.000 μB per formula unit.

Cell: 12.9537 4.4679 5.1501 Å, 90.00 111.02 90.00°
With the nearest neighbours (Å) after each atom.
Space group Cm (No. 8)
One atom of each set of equivalent atoms:
1 Ta 0.0000 0.0000 0.0000  7 Mo 2.68-2.78
2 Mo 0.0546 0.5000 0.7667  2 Mo 2.66-2.68, 2 Ta 2.75, 2 W 2.75-2.82
3 Mo 0.2189 0.0000 0.1175  3 W 2.64-2.71, 1 Ta 2.68, 3 Mo 2.72-2.75
4 Mo 0.2735 0.5000 0.8845  3 W 2.68-2.71, 4 Mo 2.68-2.75, 1 Ta 2.78
5 Mo 0.3878 0.5000 0.4416  3 Mo 2.69-2.72, 1 Ta 2.72, 3 W 2.75-2.76
6 Mo 0.4401 0.0000 0.2235  4 Mo 2.66-2.72, 2 W 2.73-2.74, 2 Ta 2.75
7 W 0.1630 0.5000 0.3342  6 Mo 2.68-2.76
8 W 0.3258 0.0000 0.6617  7 Mo 2.64-2.82


VASP calculation (GGA-PBE) on a geometry-optimized TaMo2W structure.

Computed properties:
For the distance to the lowest polymorph of the same formula, the calculation gives 40 meV per atom. The calculated formation energy is -109.4 meV/atom. As for the total moment: 0.000 μB per formula unit.

Cell: 3.2016 4.5140 4.5467 Å, 90.00 90.00 90.00°
With the nearest neighbours (Å) after each atom.
Space group Pmmm (No. 47)
One atom of each set of equivalent atoms:
1 Ta 0.0000 0.0000 0.0000  4 Mo 2.77, 4 W 2.78
2 Mo 0.0000 0.5000 0.5000  4 W 2.77, 4 Mo 2.78
3 Mo 0.5000 0.5000 0.0000  4 Ta 2.77, 4 Mo 2.78
4 W 0.5000 0.0000 0.5000  4 Mo 2.77, 4 Ta 2.78


VASP calculation (GGA-PBE) on a geometry-optimized Ta2Mo2W5 structure.

Computed properties:
The calculated formation energy is 367.8 meV/atom. As for the total moment: 0.000 μB per formula unit.

Cell: 15.6844 5.2124 9.4363 Å, 90.00 126.41 90.00°
With the nearest neighbours (Å) after each atom.
Space group C2 (No. 5)
One atom of each set of equivalent atoms:
1 Ta 0.0000 0.0000 0.0000  2 Mo 2.73, 4 W 2.98-2.99
2 Ta 0.0000 0.2903 0.5000  2 Mo 2.70, 6 W 2.76-2.91
3 Ta 0.2192 0.5438 0.7193  2 Mo 2.61-2.66, 4 W 2.78-2.90
4 Mo 0.1081 0.5461 0.1049  2 Mo 2.58-2.73, 4 W 2.66-2.69, 1 Ta 2.73
5 Mo 0.1872 0.0394 0.6855  1 Mo 2.58, 3 Ta 2.61-2.70
6 W 0.0006 0.7767 0.6518  3 W 2.63-2.85, 1 Ta 2.91
7 W 0.1018 0.2729 0.8590  4 W 2.61-2.90, 1 Mo 2.67, 1 Ta 2.76
8 W 0.1051 0.2737 0.3441  4 W 2.61-2.84, 1 Mo 2.69, 1 Ta 2.79
9 W 0.1871 0.7811 0.4125  4 W 2.63-2.84, 3 Mo 2.68-2.91, 2 Ta 2.78-2.90
10 W 0.1890 0.7860 0.9606  4 W 2.65-2.90, 2 Mo 2.66-2.90, 2 Ta 2.80-2.88


VASP calculation (GGA-PBE) on a geometry-optimized Ta3MoW3 structure.

Computed properties:
The calculated formation energy is 230.0 meV/atom. As for the total moment: 0.000 μB per formula unit.

Cell: 6.2515 8.9605 9.0194 Å, 90.00 90.00 90.00°
With the nearest neighbours (Å) after each atom.
Space group Cmmm (No. 65)
One atom of each set of equivalent atoms:
1 Ta 0.0000 0.0000 0.2114  4 W 2.75, 2 Mo 3.03
2 Ta 0.0000 0.2451 0.5000  4 Mo 2.69-2.78, 4 W 2.79
3 Ta 0.0000 0.3084 0.0000  6 W 2.75-2.88
4 Mo 0.2475 0.0000 0.5000  4 Ta 2.69-2.78, 2 W 2.70
5 W 0.0000 0.5000 0.2570  2 Mo 2.70, 4 W 2.73, 2 Ta 2.88
6 W 0.2500 0.2500 0.2438  2 W 2.73, 6 Ta 2.75-2.79


VASP calculation (GGA-PBE) on a geometry-optimized TaMo2W structure.

Computed properties:
For the distance to the lowest polymorph of the same formula, the calculation gives 45 meV per atom. The calculated formation energy is -104.7 meV/atom. As for the total moment: 0.000 μB per formula unit.

Cell: 2.7908 4.5214 5.2876 Å, 90.00 100.27 90.00°
With the nearest neighbours (Å) after each atom.
Space group Pm (No. 6)
One atom of each set of equivalent atoms:
1 Ta 0.0000 0.0000 0.0000  4 Mo 2.75-2.77, 2 W 2.79, 2 Ta 2.79
2 Mo 0.2516 0.5000 0.7506  2 W 2.76, 4 Mo 2.77-2.79, 2 Ta 2.77
3 Mo 0.4946 0.0000 0.4997  2 Ta 2.75-2.77, 2 W 2.76, 4 Mo 2.77-2.79
4 W 0.7385 0.5000 0.2529  4 Mo 2.76, 2 Ta 2.79, 2 W 2.79


VASP calculation (GGA-PBE) on a geometry-optimized TaMo2W structure.

Computed properties:
For the distance to the lowest polymorph of the same formula, the calculation gives 59 meV per atom. The calculated formation energy is -91.1 meV/atom. As for the total moment: 0.000 μB per formula unit.

Cell: 3.1909 4.5571 9.0314 Å, 90.00 90.00 90.00°
With the nearest neighbours (Å) after each atom.
Space group Cmmm (No. 65)
One atom of each set of equivalent atoms:
1 Ta 0.0000 0.0000 0.0000  4 Ta 2.78, 4 Mo 2.80
2 Mo 0.0000 0.5000 0.2549  2 W 2.73, 4 Mo 2.78, 2 Ta 2.80
3 W 0.0000 0.0000 0.5000  4 Mo 2.73, 4 W 2.78


VASP calculation (GGA-PBE) on a geometry-optimized Ta4Mo5W2 structure.

Computed properties:
The calculated formation energy is 379.7 meV/atom. As for the total moment: 0.000 μB per formula unit.

Cell: 7.4762 3.0255 8.5163 Å, 90.00 91.57 90.00°
With the nearest neighbours (Å) after each atom.
Space group P2/m (No. 10)
One atom of each set of equivalent atoms:
1 Ta 0.1775 0.0000 0.1189  2 W 2.75, 6 Mo 2.82-3.04, 2 Ta 3.03
2 Ta 0.2917 0.0000 0.5441  6 Mo 2.75-3.03, 2 W 2.80, 2 Ta 3.03
3 Mo 0.2006 0.5000 0.8400  1 W 2.49, 1 Mo 2.59
4 Mo 0.4531 0.5000 0.2998  2 Mo 2.59-2.88, 4 Ta 2.75-2.87
5 Mo 0.5000 0.5000 0.0000  4 Mo 2.59
6 W 0.0492 0.5000 0.3604  1 Mo 2.49, 1 W 2.51, 2 Ta 2.75


VASP calculation (GGA-PBE) on a geometry-optimized Ta3Mo2W3 structure.

Computed properties:
For the distance to the lowest polymorph of the same formula, the calculation gives 0 meV per atom. The calculated formation energy is -126.5 meV/atom. As for the total moment: 0.000 μB per formula unit.

Cell: 3.2212 4.5668 18.1851 Å, 90.00 90.00 90.00°
With the nearest neighbours (Å) after each atom.
Space group Immm (No. 71)
One atom of each set of equivalent atoms:
1 Ta 0.0000 0.0000 0.0000  8 W 2.79-2.84
2 Ta 0.0000 0.5000 0.1255  6 W 2.79, 2 Mo 2.81
3 Mo 0.0000 0.0000 0.2481  2 W 2.71, 4 Mo 2.80, 2 Ta 2.81
4 W 0.0000 0.0000 0.5000  8 Ta 2.79
5 W 0.0000 0.5000 0.3717  2 Mo 2.71, 6 Ta 2.79-2.84


VASP calculation (GGA-PBE) on a geometry-optimized TaMo2W structure.

Computed properties:
For the distance to the lowest polymorph of the same formula, the calculation gives 964 meV per atom. The calculated formation energy is 814.0 meV/atom. As for the total moment: 0.000 μB per formula unit.

Cell: 7.2200 7.2200 5.4619 Å, 90.00 90.00 90.00°
With the nearest neighbours (Å) after each atom.
Space group I-42d (No. 122)
One atom of each set of equivalent atoms:
1 Ta 0.0000 0.0000 0.0000  4 Mo 2.70, 2 W 2.73
2 Mo 0.2376 0.2500 0.6250  2 W 2.58, 2 Ta 2.70, 2 Mo 2.74
3 W 0.0000 0.0000 0.5000  4 Mo 2.58, 2 Ta 2.73